An optimized crystal structure of CaY5Zn6, computed with GGA-PBE.

```
data_CaY5Zn6
_chemical_formula_sum 'Ca2 Y10 Zn12'
_cell_length_a 5.090
_cell_length_b 15.257
_cell_length_c 7.166
_cell_angle_alpha 90.00
_cell_angle_beta 90.00
_cell_angle_gamma 90.00
_space_group_name_H-M_alt 'C m m m'
_space_group_IT_number 65
_space_group_name_Hall '-C 2 2'
loop_
_atom_site_label
_atom_site_fract_x
_atom_site_fract_y
_atom_site_fract_z
Ca1 0.000 0.000 0.000
Y1 0.000 0.000 0.500
Y2 0.000 0.334 0.500
Y3 0.000 0.335 0.000
Zn1 0.000 0.170 0.253
Zn2 0.000 0.500 0.260
```

Output
Energy of formation in eV per atom: -0.340